The following is a GGA-PBE calculation of a relaxed PmErRh crystal, from the Alexandria database.

Cell: 5.9896 6.9247 8.0657 Å, 93.26 90.00 90.00°
Fractional positions:
Pm 0.8665 0.3019 0.6159
Pm 0.6335 0.8019 0.1159
Pm 0.3665 0.1981 0.8841
Pm 0.1335 0.6981 0.3841
Rh 0.3324 0.4708 0.6358
Rh 0.1676 0.9708 0.1358
Rh 0.8324 0.0292 0.8642
Rh 0.6676 0.5292 0.3642
Er 0.3817 0.2048 0.3693
Er 0.6183 0.7952 0.6307
Er 0.8817 0.2952 0.1307
Er 0.1183 0.7048 0.8693

* total magnetic moment: 0.0 μB/f.u.
* total energy: -0.2231 hartree per atom
* formation energy: -1.55 eV per formula unit
* distance to the lowest polymorph of the same formula: 74.7 meV per atom

=====

The following is a GGA-PBE calculation of a relaxed PmErRh crystal, from the Alexandria database.

Cell: 4.4928 5.7810 6.5102 Å, 106.66 90.01 90.00°
Fractional positions:
Rh 0.7523 0.1619 0.4471
Rh 0.2522 0.8457 0.5561
Er 0.2523 0.0283 0.2028
Er 0.7522 0.9795 0.8005
Pm 0.2522 0.4331 0.7176
Pm 0.7522 0.5747 0.2856

* total magnetic moment: 0.0 μB/f.u.
* total energy: -0.2243 hartree per atom
* formation energy: -1.64 eV per formula unit
* distance to the lowest polymorph of the same formula: 43.2 meV per atom

=====

The following is a GGA-PBE calculation of a relaxed PmEr5Rh6 crystal, from the Alexandria database.

Cell: 4.7993 6.9055 7.6072 Å, 90.00 71.61 90.00°
Fractional positions:
Er 0.3330 0.5000 0.3340
Er 0.3319 0.0000 0.3363
Er 0.0000 0.5000 0.0000
Er 0.6670 0.5000 0.6660
Er 0.6681 0.0000 0.6637
Pm 0.0000 0.0000 0.0000
Rh 0.1686 0.2528 0.6628
Rh 0.5000 0.2568 0.0000
Rh 0.5000 0.7432 0.0000
Rh 0.1686 0.7472 0.6628
Rh 0.8314 0.7472 0.3372
Rh 0.8314 0.2528 0.3372

* total magnetic moment: 0.0 μB/f.u.
* total energy: -0.2522 hartree per atom
* formation energy: -10.66 eV per formula unit